1.
First-principles (PBE-GGA) data for a geometry-optimized Tb3W2N6 structure, as listed in Alexandria via LeMat-Bulk.

abc: 3.966 3.966 18.821
angles: 90.00 90.00 90.00
Space group I4/mmm (No. 139)
Inequivalent atoms, fractional coordinates:
Tb 0.000 0.000 0.000 [2 per cell]
Tb 0.000 0.000 0.180 [4 per cell]
W 0.000 0.000 0.404 [4 per cell]
N 0.000 0.000 0.300 [4 per cell]
N 0.000 0.500 0.086 [8 per cell]

Computed properties:
Formation energy without anion corrections in kJ/mol of formula units: -1150
Crystal system: tetragonal
Magnetic moment in μB/atom: 0.000


2.
First-principles (PBE-GGA) data for a geometry-optimized TcOs structure, as listed in Alexandria via LeMat-Bulk.

abc: 2.7328 2.7328 26.8577
angles: 90.00 90.00 120.00
Space group R-3m (No. 166, hexagonal axes)
Inequivalent atoms, fractional coordinates:
Tc 0.0000 0.0000 0.1240 [6 per cell]
Os 0.0000 0.0000 0.3754 [6 per cell]

Computed properties:
Energy above the most stable polymorph in this dataset in meV/atom: 172
Crystal system: trigonal
Magnetic moment in μB/atom: 0.000
Energy of formation in meV/atom: 86


3.
First-principles (PBE-GGA) data for a geometry-optimized Sm4HgIrAu2 structure, as listed in Alexandria via LeMat-Bulk.

abc: 5.1916 5.1916 25.2226
angles: 90.00 90.00 120.00
Space group R-3m (No. 166, hexagonal axes)
Inequivalent atoms, fractional coordinates:
Sm 0.0000 0.0000 0.1160 [6 per cell]
Sm 0.0000 0.0000 0.3678 [6 per cell]
Hg 0.0000 0.0000 0.5000 [3 per cell]
Ir 0.0000 0.0000 0.0000 [3 per cell]
Au 0.0000 0.0000 0.2402 [6 per cell]

Computed properties:
Crystal system: trigonal
Magnetic moment in μB/atom: 0.000
Energy of formation in meV/atom: -710


One value per record, in order, for calculated total energy: -101.664; -21.423; -40.274 eV/f.u..